# 1
# CuW2

CuW2 after structural relaxation (PBE, the Alexandria database).

Lattice parameters (Å, degrees): 3.283 3.283 8.378 90.00 90.00 90.00
Space group I4/mmm (No. 139)
Unique sites:
Cu 0.000 0.000 0.000 (multiplicity 2)
W 0.000 0.000 0.331 (multiplicity 4)

Computed properties:
For the magnetic moment, the calculation gives 0.000 μB/atom. The calculation puts the offset from the most stable computed form at 0.075 eV per atom. Its calculated density is 15.858 g cm⁻³.

***

# 2
# Mg2CrOs

Mg2CrOs after structural relaxation (PBE, the Alexandria database).

Lattice parameters (Å, degrees): 2.802 4.164 5.571 90.00 103.13 90.00
Space group Pm (No. 6)
Unique sites:
Mg 0.000 0.000 0.000 (multiplicity 1)
Mg 0.313 0.500 0.727 (multiplicity 1)
Cr 0.555 0.000 0.451 (multiplicity 1)
Os 0.726 0.500 0.271 (multiplicity 1)

Computed properties:
For the magnetic moment, the calculation gives 0.114 μB/atom. The calculation puts the offset from the most stable computed form at 0.197 eV per atom. Its calculated density is 7.628 g cm⁻³.